# Pm6PdAu2 PBE relaxed
# Total magnetic moment, μB/f.u.: 0.0
# Formation energy from the elements, eV per atom: -0.3746
# Mass density, kg/m³: 8225
# Density of states at the Fermi level, states/eV per atom: 1.546
# VASP energy, hartree per atom: -0.1781
data_Pm6PdAu2
_chemical_formula_sum 'Pm6 Pd1 Au2'
_space_group_name_H-M_alt 'P -1'
_space_group_IT_number 2
_cell_length_a 5.1765
_cell_length_b 7.1610
_cell_length_c 8.6626
_cell_angle_alpha 114.23
_cell_angle_beta 107.26
_cell_angle_gamma 90.29
loop_
_space_group_symop_operation_xyz
'x,y,z'
'-x,-y,-z'
loop_
_atom_site_label
_atom_site_type_symbol
_atom_site_fract_x
_atom_site_fract_y
_atom_site_fract_z
_atom_site_occupancy
Pm1 Pm 0.0009 0.2454 0.0001 1
Pm2 Pm 0.3360 0.0859 0.6719 1
Pm3 Pm 0.3363 0.5868 0.6724 1
Pd1 Pd 0.5000 0.0000 0.0000 1
Au1 Au 0.1669 0.6669 0.3340 1